1.
RbBe2Tc, relaxed, DFT GGA-PBE; calculated formation energy = 1.1727 eV per atom; energy above the most stable polymorph in this dataset = 0 meV per atom
1.0
-2.784 -1.740 3.712
4.096 -1.373 2.429
0.932 5.413 6.545
Tc Be Rb
2 4 2
Cartesian
0.000 0.000 0.000 Tc
-0.599 1.058 6.663 Tc
0.167 3.235 6.604 Be
-1.692 -0.341 5.188 Be
0.356 -1.028 6.402 Be
-1.226 2.365 8.460 Be
2.841 1.241 6.022 Rb
0.656 -1.557 3.070 Rb

2.
Fe2HgSe, relaxed, DFT GGA-PBE; E_form (uncorrected) = 1.87 eV per formula unit
1.0
-3.522 0.613 -2.713
-2.158 -3.369 2.041
-1.259 2.082 2.104
Se Fe Hg
1 2 1
Cartesian
-1.709 -0.644 2.073 Se
0.000 0.000 0.000 Fe
-2.840 -1.378 -0.336 Fe
-2.391 1.347 -0.305 Hg

3.
Re3SnPt, relaxed, DFT GGA-PBE; calculated formation energy = 2.2347 eV per atom; energy above the most stable polymorph in this dataset = 0 meV per atom
1.0
-0.054 -3.771 2.949
2.074 -2.676 -3.385
4.315 1.239 1.663
Re Pt Sn
3 1 1
Cartesian
1.037 -1.338 -1.692 Re
-0.027 -1.886 1.474 Re
2.157 0.620 0.832 Re
0.000 0.000 0.000 Pt
3.167 -2.604 0.614 Sn

4.
NaHf2TaGe, relaxed, DFT GGA-PBE; calculated formation energy = 0.9751 eV per atom
1.0
-0.184 -4.206 -2.751
3.792 -1.923 2.686
-3.079 -1.844 3.026
Ta Ge Hf Na
1 1 2 1
Cartesian
0.264 -3.987 1.481 Ta
0.000 0.000 0.000 Ge
1.896 -0.961 1.343 Hf
-0.092 -2.103 -1.375 Hf
-1.540 -0.922 1.513 Na

5.
Ac2NpGe4Pt3, relaxed, DFT GGA-PBE; calculated formation energy = -0.7296 eV per atom
1.0
4.432 0.000 0.000
0.000 4.432 0.000
0.000 0.000 11.420
Ge Np Ac Pt
4 1 2 3
Cartesian
0.000 0.000 0.000 Ge
2.216 2.216 0.000 Ge
0.000 2.216 3.848 Ge
2.216 0.000 7.572 Ge
2.216 2.216 5.710 Np
2.216 0.000 2.647 Ac
0.000 2.216 8.773 Ac
0.000 0.000 5.710 Pt
0.000 2.216 1.302 Pt
2.216 0.000 10.118 Pt

6.
RbSnF3, relaxed, DFT GGA-PBE; E_form (uncorrected) = -12.57 eV per formula unit
1.0
-3.823 -2.547 0.772
5.147 -5.195 0.198
1.156 0.036 6.437
F Rb Sn
6 2 2
Cartesian
3.700 -6.213 6.471 F
0.486 -6.121 2.848 F
0.930 -0.635 4.044 F
-1.201 -3.846 2.277 F
0.878 -6.226 6.260 F
1.839 -3.619 3.346 F
3.353 -6.185 3.407 Rb
1.093 -3.739 0.560 Rb
-0.449 -4.651 4.069 Sn
5.989 -5.139 6.223 Sn

7.
LaCuAgGe2, relaxed, DFT GGA-PBE; calculated formation energy = -0.4824 eV per atom
1.0
-3.737 2.128 0.468
-2.064 -3.755 0.593
3.760 1.169 4.719
La Ge Ag Cu
1 2 1 1
Cartesian
0.000 0.000 0.000 La
-2.698 -0.730 1.765 Ge
0.657 0.272 4.014 Ge
-1.439 1.242 2.859 Ag
-0.602 -1.700 2.921 Cu

8.
TlOsRu2, relaxed, DFT GGA-PBE; calculated formation energy = 0.6919 eV per atom; energy above the most stable polymorph in this dataset = 283 meV per atom
1.0
6.242 0.079 -0.011
4.052 4.749 0.011
-4.702 -3.364 2.356
Tl Ru Os
1 2 1
Cartesian
4.709 2.209 0.000 Tl
0.384 0.180 0.000 Ru
3.709 -0.264 1.173 Ru
1.938 1.754 1.183 Os

9.
ThScCdRu, relaxed, DFT GGA-PBE; calculated formation energy = -0.2010 eV per atom
1.0
-0.050 4.264 2.668
-3.554 0.748 3.479
1.205 -0.074 4.883
Sc Ru Th Cd
1 1 1 1
Cartesian
-1.200 2.469 5.515 Sc
-1.800 3.703 8.272 Ru
0.000 0.000 0.000 Th
-0.600 1.234 2.757 Cd

10.
YMgCl2, relaxed, DFT GGA-PBE; E_form (uncorrected) = -4.81 eV per formula unit; energy above the most stable polymorph in this dataset = 53 meV per atom
1.0
-1.488 3.016 0.068
-0.121 -0.135 3.358
8.860 4.360 0.494
Cl Mg Y
2 1 1
Cartesian
8.069 3.971 0.450 Cl
5.221 2.569 0.291 Cl
1.411 2.530 1.837 Mg
5.840 4.710 2.083 Y

11.
LiBe2Re, relaxed, DFT GGA-PBE; calculated formation energy = 0.2429 eV per atom; energy above the most stable polymorph in this dataset = 263 meV per atom
1.0
4.273 0.002 0.004
3.556 2.370 0.004
0.476 0.144 4.939
Be Re Li
2 1 1
Cartesian
7.823 2.370 0.310 Be
4.157 1.260 2.173 Be
2.076 0.629 1.237 Re
6.228 1.887 3.711 Li

12.
CrInRu2, relaxed, DFT GGA-PBE; calculated formation energy = 0.0660 eV per atom
1.0
3.042 -0.012 0.000
0.012 3.042 0.000
0.000 0.000 6.492
Ru Cr In
2 1 1
Cartesian
0.000 0.000 0.201 Ru
0.000 0.000 3.045 Ru
1.527 1.515 1.623 Cr
1.527 1.515 4.869 In

13.
V2FeRh, relaxed, DFT GGA-PBE; calculated formation energy = -0.1495 eV per atom
1.0
-0.965 3.497 -2.140
-2.824 -2.341 -2.552
-4.043 1.039 3.521
Rh V Fe
2 4 2
Cartesian
-2.421 0.141 -2.822 Rh
-2.907 -0.215 0.960 Rh
-3.249 -1.603 -1.155 V
-5.285 -1.080 0.618 V
-4.087 2.046 1.041 V
-2.080 1.530 -0.707 V
-4.532 0.587 -1.142 Fe
-0.796 -0.660 -0.720 Fe

14.
KBe2Ru, relaxed, DFT GGA-PBE; calculated formation energy = 0.8382 eV per atom; energy above the most stable polymorph in this dataset = 615 meV per atom
1.0
5.722 0.000 0.006
2.817 4.980 -0.006
-3.371 -4.031 2.264
Ru K Be
1 1 2
Cartesian
3.764 -0.506 1.135 Ru
4.290 2.502 0.000 K
8.513 4.965 0.000 Be
1.410 1.458 1.129 Be

15.
CeNpSN2, relaxed, DFT GGA-PBE; E_form (uncorrected) = -7.19 eV per formula unit
1.0
-1.944 -2.826 -1.625
0.003 -1.893 3.289
-4.185 5.022 0.705
S N Ce Np
1 2 1 1
Cartesian
-0.977 -2.356 0.834 S
-3.499 -0.108 -0.059 N
-2.526 0.359 2.398 N
-4.619 -0.475 1.920 Ce
-1.602 0.827 0.478 Np

16.
Hg2MoPb, relaxed, DFT GGA-PBE; calculated formation energy = 0.7243 eV per atom
1.0
-3.488 -6.598 -3.434
3.849 -4.847 5.403
-2.030 -5.485 2.772
Hg Mo Pb
4 2 2
Cartesian
-2.066 -5.837 -0.641 Hg
-1.233 -8.599 3.034 Hg
-1.360 -13.934 3.585 Hg
1.323 -5.489 3.503 Hg
1.000 -8.027 4.580 Mo
0.181 -5.722 0.984 Mo
-2.668 -8.903 0.161 Pb
0.000 0.000 0.000 Pb